Material: YHo2Hg3
Method: DFT, GGA-PBE
State: relaxed

Properties
Energy above the lowest structure with this stoichiometry = 0.000 eV/f.u.
Symmetry = P4/mmm, No. 123
Calculated total energy = -3.245 eV/atom
Formation enthalpy at 0 K = -0.491 eV/atom
Crystal system = tetragonal

```
YHo2Hg3
1.0
3.7198 0.0000 0.0000
0.0000 3.7198 0.0000
0.0000 0.0000 11.1096
Y Ho Hg
1 2 3
Direct
0.5000 0.5000 0.5000
0.5000 0.5000 0.8341
0.5000 0.5000 0.1659
0.0000 0.0000 0.0000
0.0000 0.0000 0.6691
0.0000 0.0000 0.3309
```